An optimized crystal structure of BaPaAs2. Source: Alexandria via LeMat-Bulk, functional GGA-PBE.

It has space group P4/mmm (No. 123), with a = 3.667 Å, b = 3.667 Å, c = 7.773 Å, α = 90.00°, β = 90.00° and γ = 90.00°. The asymmetric unit holds Ba at (0.000, 0.000, 0.000), Pa at (0.000, 0.000, 0.500) and As at (0.500, 0.500, 0.293).

The value obtained for the formation energy is -0.89 eV per atom. For the energy above the most stable polymorph in this dataset, the calculation gives 0.204 eV per atom. The volume is 26.13 Å³/atom.